# Nd2Zn5Ga PBE optimized geometry
data_Nd2Zn5Ga
_space_group_name_H-M_alt 'C m c m'
_space_group_IT_number 63
_space_group_name_Hall '-C 2c 2'
_cell_length_a 4.467
_cell_length_b 16.293
_cell_length_c 8.872
_cell_angle_alpha 90.00
_cell_angle_beta 90.00
_cell_angle_gamma 90.00
loop_
_atom_site_label
_atom_site_fract_x
_atom_site_fract_y
_atom_site_fract_z
_atom_site_occupancy
Nd1 0.000 0.000 0.000 1
Nd2 0.000 0.205 0.250 1
Zn1 0.000 0.185 0.607 1
Zn2 0.000 0.350 0.521 1
Zn3 0.000 0.404 0.250 1
Ga1 0.000 0.443 0.750 1
# **Size of the total moment**: 0.0 Bohr magnetons per cell
# **ΔH_f (0 K)**: -0.403 eV/atom
# **DOS(E_F)**: 0.68 states/eV per atom